1.
VASP calculation (PBE-GGA) on an optimized crystal structure of LaTb3Tc.

Cell: 5.4399 5.4399 5.4399 Å, 90.00 90.00 90.00°
Last column: nearest neighbours and their distance in Å.
Atoms (fractional coordinates):
Tb: 0.0000 0.0000 0.5000  2 Tc 2.72
Tc: 0.0000 0.0000 0.0000  6 Tb 2.72
Tb: 0.5000 0.0000 0.0000  2 Tc 2.72
La: 0.5000 0.5000 0.5000  12 Tb 3.85
Tb: 0.0000 0.5000 0.0000  2 Tc 2.72

As for the formation energy: 0.115 eV/atom. Its crystal system is cubic.

***

2.
VASP calculation (PBE-GGA) on an optimized crystal structure of LaTb2Tc.

Cell: 3.4747 3.4747 9.2989 Å, 90.00 90.00 90.00°
Last column: nearest neighbours and their distance in Å.
Atoms (fractional coordinates):
La: 0.5000 0.5000 0.5000  4 La 3.47, 8 Tb 3.88
Tb: 0.0000 0.0000 0.1777  4 Tc 2.96, 1 Tb 3.30
Tc: 0.5000 0.5000 0.0000  8 Tb 2.96
Tb: 0.0000 0.0000 0.8223  4 Tc 2.96, 1 Tb 3.30

As for the formation energy: 0.037 eV/atom. Its crystal system is tetragonal.

***

3.
VASP calculation (PBE-GGA) on an optimized crystal structure of La6Tb2Tc.

Cell: 6.7441 10.5898 10.5758 Å, 52.05 94.76 94.65°
Last column: nearest neighbours and their distance in Å.
Atoms (fractional coordinates):
Tb: 0.0867 0.3419 0.1879  3 Tb 3.45-3.67, 7 La 3.48-3.74
La: 0.3717 0.4093 0.4417  1 Tc 3.07, 5 La 3.20-3.40
La: 0.5529 0.0500 0.8072  1 Tc 2.68
La: 0.5306 0.6235 0.0613  1 Tc 3.22, 3 La 3.40-3.56, 1 Tb 3.47
La: 0.4694 0.3765 0.9387  1 Tc 3.22, 3 La 3.40-3.56, 1 Tb 3.47
La: 0.1282 0.5591 0.5901  1 Tc 3.08, 5 La 3.20-3.40
La: 0.9687 0.9388 0.3758  1 Tc 3.21, 3 La 3.40-3.56, 1 Tb 3.48
La: 0.9470 0.1937 0.9485  1 Tc 2.68
Tc: 0.2504 0.2083 0.7916  2 La 2.68
Tb: 0.9133 0.6581 0.8121  3 Tb 3.45-3.67, 7 La 3.48-3.74
Tb: 0.4130 0.8123 0.6575  3 Tb 3.45-3.67, 7 La 3.47-3.74
La: 0.0313 0.0612 0.6242  1 Tc 3.21, 3 La 3.40-3.56, 1 Tb 3.48
Tb: 0.5870 0.1877 0.3425  3 Tb 3.45-3.67, 7 La 3.47-3.74
La: 0.8718 0.4409 0.4099  1 Tc 3.08, 5 La 3.20-3.40
La: 0.6283 0.5907 0.5583  1 Tc 3.07, 5 La 3.20-3.40
La: 0.4471 0.9500 0.1928  1 Tc 2.68
La: 0.0530 0.8063 0.0515  1 Tc 2.68
Tc: 0.7496 0.7917 0.2084  2 La 2.68

As for the formation energy: 0.103 eV/atom. Its crystal system is triclinic.

***

4.
VASP calculation (PBE-GGA) on an optimized crystal structure of LaTb3Tc.

Cell: 5.9345 7.6037 8.9256 Å, 90.00 90.00 129.95°
Last column: nearest neighbours and their distance in Å.
Atoms (fractional coordinates):
La: 0.5858 0.2834 0.2500  1 Tc 2.57
La: 0.4142 0.7166 0.7500  1 Tc 2.57
Tb: 0.9990 0.7780 0.0062  2 Tc 2.76-2.84
Tc: 0.0224 0.0287 0.2500  1 La 2.57, 5 Tb 2.76-2.84
Tc: 0.9776 0.9713 0.7500  1 La 2.57, 5 Tb 2.76-2.84
Tb: 0.9990 0.7780 0.4938  2 Tc 2.76-2.84
Tb: 0.0010 0.2220 0.5062  2 Tc 2.76-2.84
Tb: 0.5864 0.3042 0.7500  1 Tc 2.78
Tb: 0.4136 0.6958 0.2500  1 Tc 2.78
Tb: 0.0010 0.2220 0.9938  2 Tc 2.76-2.84

As for the formation energy: 0.008 eV/atom. Its crystal system is monoclinic.

***

5.
VASP calculation (PBE-GGA) on an optimized crystal structure of LaTbThTc.

Cell: 4.6277 4.6277 7.1025 Å, 90.00 109.01 120.01°
Last column: nearest neighbours and their distance in Å.
Atoms (fractional coordinates):
La: 0.9452 0.8379 0.7831  3 Th 3.43, 3 Tb 3.58-3.59, 3 Tc 3.75-3.76
Tb: 0.3705 0.0496 0.4201  3 Tc 3.09, 3 Th 3.36
Tc: 0.5461 0.6375 0.1836  3 Th 2.71-2.72
Th: 0.8303 0.2794 0.1098  3 Tc 2.71-2.72

As for the formation energy: 0.115 eV/atom. Its crystal system is trigonal.

***

6.
VASP calculation (PBE-GGA) on an optimized crystal structure of LaTbZnTc.

Cell: 5.0574 5.0574 5.0574 Å, 60.00 60.00 60.00°
Last column: nearest neighbours and their distance in Å.
Atoms (fractional coordinates):
Tc: 0.5000 0.5000 0.5000  4 La 3.10, 4 Tb 3.10
La: 0.2500 0.2500 0.2500  4 Tc 3.10, 4 Zn 3.10
Tb: 0.7500 0.7500 0.7500  4 Zn 3.10, 4 Tc 3.10
Zn: 0.0000 0.0000 0.0000  4 Tb 3.10, 4 La 3.10

As for the formation energy: -0.065 eV/atom. Its crystal system is cubic.

***

7.
VASP calculation (PBE-GGA) on an optimized crystal structure of LaTb2Te4.

Cell: 4.3701 7.5233 15.0410 Å, 90.00 90.00 106.88°
Last column: nearest neighbours and their distance in Å.
Atoms (fractional coordinates):
La: 0.6223 0.2446 0.7500  6 Te 3.23-3.28
Te: 0.2262 0.4524 0.8789  3 Tb 3.11-3.12, 2 La 3.28
Tb: 0.1314 0.2628 0.4344  6 Te 3.05-3.12
Te: 0.5000 0.0000 0.5000  4 Tb 3.05
Tb: 0.8686 0.7372 0.9344  6 Te 3.05-3.12
Te: 0.7738 0.5476 0.3789  3 Tb 3.11-3.12, 2 La 3.28
Tb: 0.8686 0.7372 0.5656  6 Te 3.05-3.12
La: 0.3777 0.7554 0.2500  6 Te 3.23-3.28
Te: 0.5000 0.0000 0.0000  4 Tb 3.05
Tb: 0.1314 0.2628 0.0656  6 Te 3.05-3.12
Te: 0.2262 0.4524 0.6211  3 Tb 3.11-3.12, 2 La 3.28
Te: 0.0433 0.0867 0.2500  2 Tb 3.05, 2 La 3.23
Te: 0.7738 0.5476 0.1211  3 Tb 3.11-3.12, 2 La 3.28
Te: 0.9567 0.9133 0.7500  2 Tb 3.05, 2 La 3.23

For the total energy, the calculation gives -5.282 eV/atom. Its crystal system is orthorhombic.

***

8.
VASP calculation (PBE-GGA) on an optimized crystal structure of LaTbTe.

Cell: 4.0457 5.2641 5.2641 Å, 120.00 90.00 90.00°
Last column: nearest neighbours and their distance in Å.
Atoms (fractional coordinates):
Tb: 0.1462 0.0000 0.0000  3 Te 3.05
La: 0.6412 0.6667 0.3333  6 Te 3.50-3.82, 6 Tb 3.64-3.66
Te: 0.2125 0.3333 0.6667  3 Tb 3.05

For the total energy, the calculation gives -4.813 eV/atom. Its crystal system is trigonal.

***

9.
VASP calculation (PBE-GGA) on an optimized crystal structure of LaTb3Te4.

Cell: 4.3682 7.7004 7.7004 Å, 108.79 90.00 90.00°
Last column: nearest neighbours and their distance in Å.
Atoms (fractional coordinates):
Tb: 0.0000 0.5000 0.0000  6 Te 3.13
Te: 0.0000 0.7398 0.7398  4 Tb 3.07-3.13, 2 La 3.20
Te: 0.5000 0.7450 0.2550  5 Tb 3.07-3.13, 1 La 3.19
Tb: 0.5000 0.5000 0.5000  6 Te 3.07
Te: 0.0000 0.2602 0.2602  4 Tb 3.07-3.13, 2 La 3.20
Tb: 0.0000 0.0000 0.5000  6 Te 3.13
Te: 0.5000 0.2550 0.7450  5 Tb 3.07-3.13, 1 La 3.19
La: 0.5000 0.0000 0.0000  6 Te 3.19-3.20

For the total energy, the calculation gives -5.300 eV/atom. Its crystal system is orthorhombic.

***

10.
VASP calculation (PBE-GGA) on an optimized crystal structure of La2TbTe.

Cell: 4.0571 4.0571 10.3603 Å, 78.71 78.71 60.00°
Last column: nearest neighbours and their distance in Å.
Atoms (fractional coordinates):
La: 0.0730 0.0730 0.7809  3 Te 3.22
La: 0.2603 0.2603 0.2191  3 Te 3.23
Tb: 0.4998 0.4998 0.5007  6 La 3.67-3.68, 6 Tb 4.06
Te: 0.6669 0.6669 0.9994  6 La 3.22-3.23

For the total energy, the calculation gives -4.996 eV/atom. Its crystal system is trigonal.

***

11.
VASP calculation (PBE-GGA) on an optimized crystal structure of LaTbTe.

Cell: 3.9941 3.9941 6.5755 Å, 107.68 107.68 90.00°
Last column: nearest neighbours and their distance in Å.
Atoms (fractional coordinates):
Tb: 0.6452 0.6452 0.2904  4 Te 3.23, 1 La 3.61
La: 0.3414 0.3414 0.6829  5 Te 3.48-3.90, 5 Tb 3.61-3.66
Te: 0.0133 0.0133 0.0267  4 Tb 3.23, 4 La 3.48

For the total energy, the calculation gives -5.033 eV/atom. Its crystal system is tetragonal.

***

12.
VASP calculation (PBE-GGA) on an optimized crystal structure of La4TbTe6.

Cell: 8.9830 8.9830 8.9830 Å, 89.08 89.08 90.92°
Last column: nearest neighbours and their distance in Å.
Atoms (fractional coordinates):
Te: 0.5817 0.4402 0.1786  1 Tb 3.03, 3 La 3.22-3.37
Te: 0.3214 0.9402 0.9183  1 Tb 3.03, 3 La 3.22-3.37
La: 0.7500 0.3601 0.8601  8 Te 3.31-3.52
Te: 0.4402 0.8214 0.4183  1 Tb 3.03, 3 La 3.22-3.37
Tb: 0.5000 0.5000 0.5000  6 Te 3.03
Te: 0.5598 0.1786 0.5817  1 Tb 3.03, 3 La 3.22-3.37
Te: 0.0817 0.3214 0.0598  1 Tb 3.03, 3 La 3.22-3.37
La: 0.2500 0.6399 0.1399  8 Te 3.31-3.52
La: 0.2500 0.2500 0.7500  6 Te 3.22
La: 0.8601 0.2500 0.3601  8 Te 3.31-3.52
La: 0.1399 0.7500 0.6399  8 Te 3.31-3.52
La: 0.6399 0.8601 0.7500  8 Te 3.31-3.52
Te: 0.9402 0.0817 0.6786  1 Tb 3.03, 3 La 3.22-3.37
Te: 0.6786 0.0598 0.0817  1 Tb 3.03, 3 La 3.22-3.37
Tb: 0.0000 0.0000 0.0000  6 Te 3.03
La: 0.7500 0.7500 0.2500  6 Te 3.22
La: 0.3601 0.1399 0.2500  8 Te 3.31-3.52
Te: 0.4183 0.5598 0.8214  1 Tb 3.03, 3 La 3.22-3.37
Te: 0.9183 0.6786 0.9402  1 Tb 3.03, 3 La 3.22-3.37
Te: 0.0598 0.9183 0.3214  1 Tb 3.03, 3 La 3.22-3.37
Te: 0.1786 0.4183 0.4402  1 Tb 3.03, 3 La 3.22-3.37
Te: 0.8214 0.5817 0.5598  1 Tb 3.03, 3 La 3.22-3.37

For the total energy, the calculation gives -5.404 eV/atom. Its crystal system is trigonal.

***

no.,density (g/cm3)
1,7.4
2,8.2
3,7.0
4,7.7
5,8.5
6,8.4
7,6.8
8,7.3
9,7.6
10,6.5
11,7.5
12,6.8